(1)
## As2IrBr (PBE)

Data for a relaxed As2IrBr crystal.

## Properties
As for the relative energy among the computed polymorphs: 504.0 meV/atom. The value obtained for the total energy is -18.5 eV/cell. As for the formation energy (no corrections): 0.3249 eV per atom. The value obtained for the volume is 86.5 Å³ per cell. As for the space group: R3m (160).

Cell: 8.435 8.435 8.435 Å, 23.90 23.90 23.90°
Element x y z (fractional)
As  0.020  0.020  0.020
As  0.262  0.262  0.262
Ir  0.739  0.739  0.739
Br  0.479  0.479  0.479

***

(2)
## PmEr2TmTe6 (PBE)

Data for a relaxed PmEr2TmTe6 crystal.

## Properties
The value obtained for the total energy is -50.7 eV/cell. As for the formation energy (no corrections): -1.3474 eV per atom. The value obtained for the volume is 359.4 Å³ per cell. As for the space group: R3 (146).

Cell: 7.693 7.694 8.299 Å, 62.39 62.38 60.00°
Element x y z (fractional)
Pm  0.821  0.821  0.538
Er  0.509  0.509  0.473
Er  0.007  0.007  0.978
Tm  0.323  0.323  0.030
Te  0.601  0.237  0.247
Te  0.237  0.915  0.247
Te  0.915  0.601  0.247
Te  0.403  0.731  0.752
Te  0.731  0.114  0.752
Te  0.114  0.403  0.752

***

(3)
## ZrReRh2 (PBE)

Data for a relaxed ZrReRh2 crystal.

## Properties
As for the relative energy among the computed polymorphs: 36.2 meV/atom. The value obtained for the total energy is -36.9 eV/cell. The value obtained for the volume is 63.7 Å³ per cell. As for the space group: I4/mmm (139).

Cell: 4.850 4.850 4.850 Å, 130.92 130.90 71.96°
Element x y z (fractional)
Re  0.250  0.750  0.500
Rh  0.000  0.000  0.000
Rh  0.500  0.500  0.000
Zr  0.750  0.250  0.500